# 1
Below is a PBEsol-optimized structure of ScTl2Mo, with properties calculated at the meta-GGA SCAN level.

Cell and atoms, written as POSCAR:
```
ScTl2Mo
1.0
3.026 0.000 0.000
0.000 4.295 0.000
0.000 0.000 6.071
Mo Sc Tl
1 1 2
Cartesian
1.513 2.148 0.000
1.513 2.148 3.036
0.000 0.000 4.606
0.000 0.000 1.466
```

Computed properties:
V (A^3/atom): 19.73
E above lowest polymorph (meV per atom): 0
Calculated total energy (eV/atom): -48.26
Energy relative to the elements (kcal/mol of atoms): 4.718
Crystal system: orthorhombic

# 2
Below is a PBEsol-optimized structure of TcWAu2, with properties calculated at the meta-GGA SCAN level.

Cell and atoms, written as POSCAR:
```
TcWAu2
1.0
-2.776 0.178 0.590
0.474 -2.483 2.980
1.271 4.389 3.455
Au Tc W
2 1 1
Cartesian
-1.488 4.560 4.036
-0.850 -0.045 2.660
0.478 2.279 1.823
-0.040 2.050 4.277
```

Computed properties:
V (A^3/atom): 15.90
E above lowest polymorph (meV per atom): 0
Calculated total energy (eV/atom): -60.56
Energy relative to the elements (kcal/mol of atoms): 4.807
Crystal system: monoclinic

# 3
Below is a PBEsol-optimized structure of BeP2W, with properties calculated at the meta-GGA SCAN level.

Cell and atoms, written as POSCAR:
```
BeP2W
1.0
-1.571 0.849 2.583
-3.140 0.064 -0.022
-1.705 -5.637 2.725
P W Be
2 1 1
Cartesian
-1.601 -1.065 1.285
-4.814 -3.659 4.001
-3.208 -2.362 2.643
0.000 0.000 0.000
```

Computed properties:
V (A^3/atom): 13.30
Calculated total energy (eV/atom): -23.67
Energy relative to the elements (kcal/mol of atoms): 0.889
Crystal system: trigonal

# 4
Below is a PBEsol-optimized structure of CaTiPt3, with properties calculated at the meta-GGA SCAN level.

Cell and atoms, written as POSCAR:
```
CaTiPt3
1.0
-4.524 -1.110 -0.650
-0.299 -1.402 4.480
-1.251 4.350 1.278
Ca Pt Ti
1 3 1
Cartesian
-3.037 0.919 2.554
-0.150 -0.701 2.240
-0.626 2.175 0.639
-2.262 -0.555 -0.325
0.000 0.000 0.000
```

Computed properties:
V (A^3/atom): 20.81
E above lowest polymorph (meV per atom): 0
Calculated total energy (eV/atom): -47.59
Energy relative to the elements (kcal/mol of atoms): -7.647
Crystal system: cubic